A geometry-optimized CsCu4S2Br structure. Source: Alexandria via LeMat-Bulk, functional PBE.

## Properties
- size of the total moment (Bohr magnetons per cell) = 0.0
- V (Å³/f.u.) = 173.78
- ΔE_f (raw) (eV/atom) = -0.40
- electronic total energy (eV/atom) = -3.7942

Cell: 4.0430 4.0430 10.6309 Å, 90.00 90.00 90.00°
Space group P4/mmm (No. 123)
Symmetry-distinct sites (fractional):
1 Cs 0.0000 0.0000 0.0000 x1
2 Cu 0.0000 0.5000 0.3045 x4
3 S 0.5000 0.5000 0.2151 x2
4 Br 0.0000 0.0000 0.5000 x1